# 1
Computed, not measured: a relaxed structure of K2AlAu at the PBE-GGA level of DFT.

```
data_K2AlAu
_cell_length_a 4.1061
_cell_length_b 5.9656
_cell_length_c 11.1338
_cell_angle_alpha 90.00
_cell_angle_beta 90.00
_cell_angle_gamma 90.00
_symmetry_space_group_name_H-M 'I m m 2'
_symmetry_Int_Tables_number 44
_symmetry_space_group_name_Hall 'I 2 -2'
loop_
_atom_site_label
_atom_site_fract_x
_atom_site_fract_y
_atom_site_fract_z
K1 0.0000 0.0000 0.0000
K2 0.0000 0.5000 0.1891
Al1 0.0000 0.5000 0.7929
Au1 0.0000 0.0000 0.4177
```

## Properties
DFT total energy = -2.412 eV/atom

# 2
Computed, not measured: a relaxed structure of KAl5Au2 at the PBE-GGA level of DFT.

```
data_KAl5Au2
_cell_length_a 4.2039
_cell_length_b 7.4768
_cell_length_c 10.3218
_cell_angle_alpha 90.00
_cell_angle_beta 90.00
_cell_angle_gamma 90.00
_symmetry_space_group_name_H-M 'I m m m'
_symmetry_Int_Tables_number 71
_symmetry_space_group_name_Hall '-I 2 2'
loop_
_atom_site_label
_atom_site_fract_x
_atom_site_fract_y
_atom_site_fract_z
K1 0.0000 0.0000 0.0000
Al1 0.0000 0.1889 0.3539
Al2 0.0000 0.5000 0.0000
Au1 0.0000 0.5000 0.2414
```

## Properties
DFT total energy = -3.559 eV/atom

# 3
Computed, not measured: a relaxed structure of KAlAu2 at the PBE-GGA level of DFT.

```
data_KAlAu2
_cell_length_a 4.5177
_cell_length_b 7.4137
_cell_length_c 6.4843
_cell_angle_alpha 90.00
_cell_angle_beta 90.00
_cell_angle_gamma 90.00
_symmetry_space_group_name_H-M 'P m m n'
_symmetry_Int_Tables_number 59
loop_
_symmetry_equiv_pos_as_xyz
'x,y,z'
'-x,-y,-z'
'-x+1/2,-y+1/2,z'
'x+1/2,y+1/2,-z'
'x+1/2,-y,-z'
'-x+1/2,y,z'
'-x,y+1/2,-z'
'x,-y+1/2,z'
loop_
_atom_site_label
_atom_site_fract_x
_atom_site_fract_y
_atom_site_fract_z
K1 0.2500 0.2500 0.1121
Al1 0.2500 0.7500 0.4149
Au1 0.2500 0.0627 0.6099
```

## Properties
DFT total energy = -3.212 eV/atom

# 4
Computed, not measured: a relaxed structure of KAl2Au2 at the PBE-GGA level of DFT.

```
data_KAl2Au2
_cell_length_a 6.4985
_cell_length_b 14.6949
_cell_length_c 5.5494
_cell_angle_alpha 90.00
_cell_angle_beta 112.94
_cell_angle_gamma 90.00
_symmetry_space_group_name_H-M 'C 1 2/c 1'
_symmetry_Int_Tables_number 15
_symmetry_space_group_name_Hall '-C 2yc'
loop_
_atom_site_label
_atom_site_fract_x
_atom_site_fract_y
_atom_site_fract_z
K1 0.0000 0.0940 0.2500
Al1 0.1101 0.3541 0.0655
Au1 0.0000 0.2154 0.7500
Au2 0.0000 0.4959 0.7500
```

## Properties
DFT total energy = -3.333 eV/atom

# 5
Computed, not measured: a relaxed structure of KAlAu2 at the PBE-GGA level of DFT.

```
data_KAlAu2
_cell_length_a 7.0685
_cell_length_b 7.0685
_cell_length_c 7.0685
_cell_angle_alpha 90.00
_cell_angle_beta 90.00
_cell_angle_gamma 90.00
_symmetry_space_group_name_H-M 'F m -3 m'
_symmetry_Int_Tables_number 225
_symmetry_space_group_name_Hall '-F 4 2 3'
loop_
_atom_site_label
_atom_site_fract_x
_atom_site_fract_y
_atom_site_fract_z
K1 0.0000 0.0000 0.0000
Al1 0.0000 0.0000 0.5000
Au1 0.2500 0.2500 0.2500
```

## Properties
DFT total energy = -2.803 eV/atom

# 6
Computed, not measured: a relaxed structure of K2AlAu at the PBE-GGA level of DFT.

```
data_K2AlAu
_cell_length_a 6.0792
_cell_length_b 9.2836
_cell_length_c 4.4104
_cell_angle_alpha 90.00
_cell_angle_beta 90.00
_cell_angle_gamma 90.00
_symmetry_space_group_name_H-M 'C m m m'
_symmetry_Int_Tables_number 65
_symmetry_space_group_name_Hall '-C 2 2'
loop_
_atom_site_label
_atom_site_fract_x
_atom_site_fract_y
_atom_site_fract_z
K1 0.2500 0.2500 0.0000
Al1 0.0000 0.0000 0.5000
Au1 0.0000 0.5000 0.5000
```

## Properties
DFT total energy = -2.135 eV/atom

# 7
Computed, not measured: a relaxed structure of KAl2Au4 at the PBE-GGA level of DFT.

```
data_KAl2Au4
_cell_length_a 20.3649
_cell_length_b 4.2597
_cell_length_c 7.2457
_cell_angle_alpha 90.00
_cell_angle_beta 90.00
_cell_angle_gamma 90.00
_symmetry_space_group_name_H-M 'P n m a'
_symmetry_Int_Tables_number 62
_symmetry_space_group_name_Hall '-P 2ac 2n'
loop_
_atom_site_label
_atom_site_fract_x
_atom_site_fract_y
_atom_site_fract_z
K1 0.1341 0.2500 0.0572
Al1 0.0247 0.7500 0.6674
Al2 0.2090 0.2500 0.4618
Au1 0.0017 0.7500 0.1295
Au2 0.0821 0.2500 0.5391
Au3 0.1699 0.7500 0.6480
Au4 0.2431 0.7500 0.2876
```

## Properties
DFT total energy = -3.400 eV/atom

# 8
Computed, not measured: a relaxed structure of K2Al2Au at the PBE-GGA level of DFT.

```
data_K2Al2Au
_cell_length_a 6.8264
_cell_length_b 6.8264
_cell_length_c 5.9500
_cell_angle_alpha 90.00
_cell_angle_beta 90.00
_cell_angle_gamma 90.00
_symmetry_space_group_name_H-M 'P 4/m b m'
_symmetry_Int_Tables_number 127
_symmetry_space_group_name_Hall '-P 4 2ab'
loop_
_atom_site_label
_atom_site_fract_x
_atom_site_fract_y
_atom_site_fract_z
K1 0.1858 0.3142 0.0000
Al1 0.1380 0.6380 0.5000
Au1 0.0000 0.0000 0.5000
```

## Properties
DFT total energy = -2.601 eV/atom

# 9
Computed, not measured: a relaxed structure of K2AlAu at the PBE-GGA level of DFT.

```
data_K2AlAu
_cell_length_a 8.0982
_cell_length_b 8.0982
_cell_length_c 8.0982
_cell_angle_alpha 90.00
_cell_angle_beta 90.00
_cell_angle_gamma 90.00
_symmetry_space_group_name_H-M 'F m -3 m'
_symmetry_Int_Tables_number 225
_symmetry_space_group_name_Hall '-F 4 2 3'
loop_
_atom_site_label
_atom_site_fract_x
_atom_site_fract_y
_atom_site_fract_z
K1 0.2500 0.2500 0.2500
Al1 0.0000 0.0000 0.0000
Au1 0.0000 0.0000 0.5000
```

## Properties
DFT total energy = -2.039 eV/atom

# 10
Computed, not measured: a relaxed structure of K3AlAu at the PBE-GGA level of DFT.

```
data_K3AlAu
_cell_length_a 6.2498
_cell_length_b 6.2498
_cell_length_c 6.2498
_cell_angle_alpha 90.00
_cell_angle_beta 90.00
_cell_angle_gamma 90.00
_symmetry_space_group_name_H-M 'P m -3 m'
_symmetry_Int_Tables_number 221
_symmetry_space_group_name_Hall '-P 4 2 3'
loop_
_atom_site_label
_atom_site_fract_x
_atom_site_fract_y
_atom_site_fract_z
K1 0.0000 0.0000 0.5000
Al1 0.5000 0.5000 0.5000
Au1 0.0000 0.0000 0.0000
```

## Properties
DFT total energy = -1.828 eV/atom

# 11
Computed, not measured: a relaxed structure of KAlAu at the PBE-GGA level of DFT.

```
data_KAlAu
_cell_length_a 7.0224
_cell_length_b 7.0224
_cell_length_c 7.0224
_cell_angle_alpha 90.00
_cell_angle_beta 90.00
_cell_angle_gamma 90.00
_symmetry_space_group_name_H-M 'F -4 3 m'
_symmetry_Int_Tables_number 216
_symmetry_space_group_name_Hall 'F -4 2 3'
loop_
_atom_site_label
_atom_site_fract_x
_atom_site_fract_y
_atom_site_fract_z
K1 0.0000 0.0000 0.0000
Al1 0.0000 0.0000 0.5000
Au1 0.2500 0.2500 0.7500
```

## Properties
DFT total energy = -2.522 eV/atom

# 12
Computed, not measured: a relaxed structure of KAl2Au2 at the PBE-GGA level of DFT.

```
data_KAl2Au2
_cell_length_a 4.8025
_cell_length_b 4.8025
_cell_length_c 10.0578
_cell_angle_alpha 90.00
_cell_angle_beta 90.00
_cell_angle_gamma 90.00
_symmetry_space_group_name_H-M 'I 4/m m m'
_symmetry_Int_Tables_number 139
_symmetry_space_group_name_Hall '-I 4 2'
loop_
_atom_site_label
_atom_site_fract_x
_atom_site_fract_y
_atom_site_fract_z
K1 0.0000 0.0000 0.0000
Al1 0.0000 0.0000 0.3565
Au1 0.0000 0.5000 0.2500
```

## Properties
DFT total energy = -3.310 eV/atom

# 13
Computed, not measured: a relaxed structure of KAl2Au at the PBE-GGA level of DFT.

```
data_KAl2Au
_cell_length_a 2.9340
_cell_length_b 5.5900
_cell_length_c 11.1223
_cell_angle_alpha 90.00
_cell_angle_beta 90.00
_cell_angle_gamma 90.00
_symmetry_space_group_name_H-M 'I m m m'
_symmetry_Int_Tables_number 71
_symmetry_space_group_name_Hall '-I 2 2'
loop_
_atom_site_label
_atom_site_fract_x
_atom_site_fract_y
_atom_site_fract_z
K1 0.0000 0.0000 0.0000
Al1 0.0000 0.5000 0.2082
Au1 0.0000 0.0000 0.5000
```

## Properties
DFT total energy = -2.939 eV/atom

# 14
Computed, not measured: a relaxed structure of K2Al2Au at the PBE-GGA level of DFT.

```
data_K2Al2Au
_cell_length_a 3.8702
_cell_length_b 3.8702
_cell_length_c 20.8632
_cell_angle_alpha 90.00
_cell_angle_beta 90.00
_cell_angle_gamma 90.00
_symmetry_space_group_name_H-M 'I 4/m m m'
_symmetry_Int_Tables_number 139
_symmetry_space_group_name_Hall '-I 4 2'
loop_
_atom_site_label
_atom_site_fract_x
_atom_site_fract_y
_atom_site_fract_z
K1 0.0000 0.0000 0.0975
Al1 0.0000 0.5000 0.2500
Au1 0.0000 0.0000 0.5000
```

## Properties
DFT total energy = -2.537 eV/atom

# 15
Computed, not measured: a relaxed structure of KAl6Au12 at the PBE-GGA level of DFT.

```
data_KAl6Au12
_cell_length_a 11.9273
_cell_length_b 11.9273
_cell_length_c 8.9702
_cell_angle_alpha 90.00
_cell_angle_beta 90.00
_cell_angle_gamma 120.00
_symmetry_space_group_name_H-M 'R -3 m'
_symmetry_Int_Tables_number 166
_symmetry_space_group_name_Hall '-R 3 2"'
loop_
_atom_site_label
_atom_site_fract_x
_atom_site_fract_y
_atom_site_fract_z
K1 0.0000 0.0000 0.0000
Al1 0.0570 0.5285 0.2503
Au1 0.0000 0.3815 0.5000
Au2 0.0848 0.1696 0.3095
```

## Properties
DFT total energy = -3.605 eV/atom

# 16
Computed, not measured: a relaxed structure of KAl2Au at the PBE-GGA level of DFT.

```
data_KAl2Au
_cell_length_a 4.3688
_cell_length_b 5.7199
_cell_length_c 7.8732
_cell_angle_alpha 90.00
_cell_angle_beta 90.00
_cell_angle_gamma 90.00
_symmetry_space_group_name_H-M 'P m m n'
_symmetry_Int_Tables_number 59
loop_
_symmetry_equiv_pos_as_xyz
'x,y,z'
'-x,-y,-z'
'-x+1/2,-y+1/2,z'
'x+1/2,y+1/2,-z'
'x+1/2,-y,-z'
'-x+1/2,y,z'
'-x,y+1/2,-z'
'x,-y+1/2,z'
loop_
_atom_site_label
_atom_site_fract_x
_atom_site_fract_y
_atom_site_fract_z
K1 0.2500 0.2500 0.0625
Al1 0.2500 0.5037 0.6279
Au1 0.2500 0.7500 0.3420
```

## Properties
DFT total energy = -3.187 eV/atom

# 17
Computed, not measured: a relaxed structure of K2AlAu at the PBE-GGA level of DFT.

```
data_K2AlAu
_cell_length_a 5.4647
_cell_length_b 4.3579
_cell_length_c 6.6613
_cell_angle_alpha 90.00
_cell_angle_beta 114.10
_cell_angle_gamma 90.00
_symmetry_space_group_name_H-M 'P 1 m 1'
_symmetry_Int_Tables_number 6
_symmetry_space_group_name_Hall 'P -2y'
loop_
_atom_site_label
_atom_site_fract_x
_atom_site_fract_y
_atom_site_fract_z
K1 0.0000 0.0000 0.0000
K2 0.3002 0.5000 0.6001
Al1 0.6946 0.0000 0.3882
Au1 0.5941 0.5000 0.1903
```

## Properties
DFT total energy = -2.429 eV/atom

# 18
Computed, not measured: a relaxed structure of KAlAu at the PBE-GGA level of DFT.

```
data_KAlAu
_cell_length_a 4.6708
_cell_length_b 4.6708
_cell_length_c 7.5348
_cell_angle_alpha 90.00
_cell_angle_beta 90.00
_cell_angle_gamma 90.00
_symmetry_space_group_name_H-M 'P 4/n m m'
_symmetry_Int_Tables_number 129
loop_
_symmetry_equiv_pos_as_xyz
'x,y,z'
'-x,-y,-z'
'-y+1/2,x,z'
'y+1/2,-x,-z'
'-x+1/2,-y+1/2,z'
'x+1/2,y+1/2,-z'
'y,-x+1/2,z'
'-y,x+1/2,-z'
'x+1/2,-y,-z'
'-x+1/2,y,z'
'-y,-x,-z'
'y,x,z'
'-x,y+1/2,-z'
'x,-y+1/2,z'
'y+1/2,x+1/2,-z'
'-y+1/2,-x+1/2,z'
loop_
_atom_site_label
_atom_site_fract_x
_atom_site_fract_y
_atom_site_fract_z
K1 0.2500 0.2500 0.1399
Al1 0.2500 0.7500 0.5000
Au1 0.2500 0.2500 0.6516
```

## Properties
DFT total energy = -3.029 eV/atom

# 19
Computed, not measured: a relaxed structure of K2AlAu at the PBE-GGA level of DFT.

```
data_K2AlAu
_cell_length_a 4.7207
_cell_length_b 4.7342
_cell_length_c 10.6220
_cell_angle_alpha 90.00
_cell_angle_beta 90.00
_cell_angle_gamma 90.00
_symmetry_space_group_name_H-M 'I m m m'
_symmetry_Int_Tables_number 71
_symmetry_space_group_name_Hall '-I 2 2'
loop_
_atom_site_label
_atom_site_fract_x
_atom_site_fract_y
_atom_site_fract_z
K1 0.0000 0.0000 0.2495
Al1 0.0000 0.5000 0.0000
Au1 0.0000 0.5000 0.5000
```

## Properties
DFT total energy = -2.112 eV/atom

# 20
Computed, not measured: a relaxed structure of KAl2Au at the PBE-GGA level of DFT.

```
data_KAl2Au
_cell_length_a 3.3811
_cell_length_b 3.3811
_cell_length_c 8.3078
_cell_angle_alpha 90.00
_cell_angle_beta 90.00
_cell_angle_gamma 90.00
_symmetry_space_group_name_H-M 'P 4/m m m'
_symmetry_Int_Tables_number 123
_symmetry_space_group_name_Hall '-P 4 2'
loop_
_atom_site_label
_atom_site_fract_x
_atom_site_fract_y
_atom_site_fract_z
K1 0.0000 0.0000 0.0000
Al1 0.5000 0.5000 0.3265
Au1 0.0000 0.0000 0.5000
```

## Properties
DFT total energy = -2.977 eV/atom